VASP calculation (PBE) on a geometry-optimized La6MgRu2 structure.

abc: 5.2811 6.0130 9.5025
angles: 97.43 90.00 116.05
Closest atoms and distances in Å follow each position.
Positions (direct):
1 La 0.0769 0.1537 0.8546  3 Ru 2.98-3.12, 2 La 3.34
2 La 0.6142 0.2284 0.1632  3 Ru 3.10-3.19, 3 La 3.34-3.37
3 La 0.3858 0.7716 0.8368  3 Ru 3.10-3.19, 3 La 3.34-3.37
4 La 0.3009 0.6019 0.3785  1 Ru 2.48
5 La 0.6991 0.3981 0.6215  1 Ru 2.48
6 La 0.9231 0.8463 0.1454  3 Ru 2.98-3.12, 2 La 3.34
7 Ru 0.2676 0.5352 0.1151  1 La 2.48
8 Ru 0.7324 0.4648 0.8849  1 La 2.48
9 Mg 0.0000 0.0000 0.5000  8 La 3.35-3.60

## Properties
M_tot	0.0	Bohr magnetons per cell
relative energy among the computed polymorphs	25	meV per atom
energy of formation	-178	meV/atom
D(E_F)	10.27	states/eV/cell